1.
Material: Sc2TcCl
Method: DFT, GGA-PBE
State: relaxed

abc: 4.6805 4.6805 4.6805
angles: 60.00 60.00 60.00
Closest atoms and distances in Å follow each position.
Atoms (fractional coordinates):
Sc1 0.0000 0.0000 0.0000  4 Tc 2.87, 4 Sc 2.87
Sc2 0.2500 0.2500 0.2500  4 Cl 2.87, 4 Sc 2.87
Tc1 0.7500 0.7500 0.7500  4 Cl 2.87, 4 Sc 2.87
Cl1 0.5000 0.5000 0.5000  4 Tc 2.87, 4 Sc 2.87

## Properties
Energy ... -5.88 eV per atom
SG ... F-43m, No. 216
Crystal system ... cubic
V ... 72.5 Å³/cell
Energy relative to the elements, uncorrected ... 342 meV per atom



2.
Material: ScTc2Cl
Method: DFT, GGA-PBE
State: relaxed

abc: 3.0489 3.0489 7.8457
angles: 90.00 90.00 90.00
Closest atoms and distances in Å follow each position.
Atoms (fractional coordinates):
Sc1 0.0000 0.0000 0.0000  4 Cl 2.77, 4 Tc 2.92, 4 Sc 3.05
Tc1 0.0000 0.0000 0.4224  4 Tc 2.54
Tc2 0.5000 0.5000 0.2502  4 Tc 2.54
Cl1 0.5000 0.5000 0.7776  4 Sc 2.77, 4 Cl 3.05

## Properties
Energy ... -7.53 eV per atom
SG ... P4mm, No. 99
Crystal system ... tetragonal
V ... 72.9 Å³/cell
Energy relative to the elements, uncorrected ... -305 meV per atom



3.
Material: Sc2TcCl
Method: DFT, GGA-PBE
State: relaxed

abc: 3.0753 3.0753 9.6697
angles: 90.00 90.00 90.00
Closest atoms and distances in Å follow each position.
Atoms (fractional coordinates):
Sc1 0.0000 0.0000 0.0000  4 Cl 2.65
Sc2 0.5000 0.5000 0.2843  4 Tc 2.79, 4 Sc 3.08
Tc1 0.0000 0.0000 0.4653  4 Sc 2.79, 4 Tc 3.08
Cl1 0.5000 0.5000 0.8438  4 Sc 2.65

## Properties
Energy ... -6.33 eV per atom
SG ... P4mm, No. 99
Crystal system ... tetragonal
V ... 91.5 Å³/cell
Energy relative to the elements, uncorrected ... -108 meV per atom



4.
Material: ScTcCl
Method: DFT, GGA-PBE
State: relaxed

abc: 4.2198 4.2198 4.2198
angles: 60.00 60.00 60.00
Closest atoms and distances in Å follow each position.
Atoms (fractional coordinates):
Sc1 0.0000 0.0000 0.0000  4 Cl 2.58
Tc1 0.5000 0.5000 0.5000  4 Cl 2.58
Cl1 0.2500 0.2500 0.2500  4 Tc 2.58, 4 Sc 2.58

## Properties
Energy ... -5.75 eV per atom
SG ... F-43m, No. 216
Crystal system ... cubic
V ... 53.1 Å³/cell
Energy relative to the elements, uncorrected ... 435 meV per atom



5.
Material: ScTc2Cl
Method: DFT, GGA-PBE
State: relaxed

abc: 5.8389 5.8389 3.1292
angles: 105.37 105.37 127.65
Closest atoms and distances in Å follow each position.
Atoms (fractional coordinates):
Sc1 0.0000 0.0000 0.0000  4 Cl 2.58-2.60
Tc1 0.0000 0.5000 0.0000  4 Tc 2.58-2.60
Tc2 0.5000 0.0000 0.0000  4 Tc 2.58-2.60
Cl1 0.5000 0.5000 0.0000  4 Sc 2.58-2.60

## Properties
Energy ... -7.10 eV per atom
SG ... C2/m, No. 12
Crystal system ... monoclinic
V ... 67.5 Å³/cell
Energy relative to the elements, uncorrected ... 126 meV per atom



6.
Material: ScTcCl
Method: DFT, GGA-PBE
State: relaxed

abc: 7.1128 7.1128 7.1128
angles: 155.67 155.67 34.68
Closest atoms and distances in Å follow each position.
Atoms (fractional coordinates):
Sc1 0.0000 0.0000 0.0000  4 Cl 2.74, 4 Tc 2.85, 4 Sc 3.00
Tc1 0.6403 0.6403 0.0000  4 Sc 2.85, 4 Tc 3.00
Cl1 0.3726 0.3726 0.0000  4 Sc 2.74, 4 Cl 3.00

## Properties
Energy ... -6.33 eV per atom
SG ... I4mm, No. 107
Crystal system ... tetragonal
V ... 61.0 Å³/cell
Energy relative to the elements, uncorrected ... -152 meV per atom



7.
Material: ScTc2Cl
Method: DFT, GGA-PBE
State: relaxed

abc: 5.8056 5.8056 5.8056
angles: 100.39 100.39 129.74
Closest atoms and distances in Å follow each position.
Atoms (fractional coordinates):
Sc1 0.0000 0.0000 0.0000  2 Cl 2.47
Sc2 0.7500 0.2500 0.5000  2 Cl 2.47
Tc1 0.2136 0.6250 0.0886  2 Cl 2.30
Tc2 0.3750 0.4636 0.5886  2 Cl 2.30
Tc3 0.5364 0.1250 0.9114  2 Cl 2.30
Tc4 0.8750 0.7864 0.4114  2 Cl 2.30
Cl1 0.2500 0.7500 0.5000  4 Tc 2.30, 2 Sc 2.47
Cl2 0.5000 0.5000 0.0000  4 Tc 2.30, 2 Sc 2.47

## Properties
Energy ... -6.77 eV per atom
SG ... I-42d, No. 122
Crystal system ... tetragonal
V ... 136.2 Å³/cell
Energy relative to the elements, uncorrected ... 460 meV per atom



8.
Material: Sc2TcCl
Method: DFT, GGA-PBE
State: relaxed

abc: 7.6522 7.6522 7.6522
angles: 155.36 153.96 36.16
Closest atoms and distances in Å follow each position.
Atoms (fractional coordinates):
Sc1 0.0000 0.0000 0.0000  2 Tc 2.53
Sc2 0.7857 0.2857 0.5000  4 Tc 2.69, 2 Cl 2.88
Tc1 0.3725 0.8725 0.5000  6 Sc 2.53-2.69
Cl1 0.6229 0.6229 0.0000  6 Sc 2.88-2.97

## Properties
Energy ... -6.77 eV per atom
SG ... Imm2, No. 44
Crystal system ... orthorhombic
V ... 81.9 Å³/cell
Energy relative to the elements, uncorrected ... -547 meV per atom



9.
Material: ScTe2Cl
Method: DFT, GGA-PBE
State: relaxed

abc: 8.7365 8.7365 8.7365
angles: 28.63 28.63 28.63
Closest atoms and distances in Å follow each position.
Atoms (fractional coordinates):
Sc1 0.0000 0.0000 0.0000  6 Te 2.92
Te1 0.3941 0.3941 0.3941  1 Cl 2.66, 3 Sc 2.92
Te2 0.6059 0.6059 0.6059  1 Cl 2.66, 3 Sc 2.92
Cl1 0.5000 0.5000 0.5000  2 Te 2.66

## Properties
Energy ... -4.41 eV per atom
SG ... R-3m, No. 166
Crystal system ... trigonal
V ... 135.3 Å³/cell
Energy relative to the elements, uncorrected ... -791 meV per atom



10.
Material: ScTeCl
Method: DFT, GGA-PBE
State: relaxed

abc: 4.8579 4.8579 4.8579
angles: 60.00 60.00 60.00
Closest atoms and distances in Å follow each position.
Atoms (fractional coordinates):
Sc1 0.0000 0.0000 0.0000  4 Cl 2.97, 4 Te 2.97
Te1 0.2500 0.2500 0.2500  4 Sc 2.97
Cl1 0.7500 0.7500 0.7500  4 Sc 2.97

## Properties
Energy ... -5.04 eV per atom
SG ... F-43m, No. 216
Crystal system ... cubic
V ... 81.1 Å³/cell
Energy relative to the elements, uncorrected ... -1269 meV per atom



11.
Material: Sc2TeCl
Method: DFT, GGA-PBE
State: relaxed

abc: 4.9334 4.9334 4.9334
angles: 60.00 60.00 60.00
Closest atoms and distances in Å follow each position.
Atoms (fractional coordinates):
Sc1 0.2500 0.2500 0.2500  4 Cl 3.02, 4 Te 3.02
Sc2 0.7500 0.7500 0.7500  4 Te 3.02, 4 Cl 3.02
Te1 0.0000 0.0000 0.0000  8 Sc 3.02
Cl1 0.5000 0.5000 0.5000  8 Sc 3.02

## Properties
Energy ... -5.39 eV per atom
SG ... Fm-3m, No. 225
Crystal system ... cubic
V ... 84.9 Å³/cell
Energy relative to the elements, uncorrected ... -974 meV per atom



12.
Material: ScTe2Cl
Method: DFT, GGA-PBE
State: relaxed

abc: 8.4506 8.4506 8.4506
angles: 27.76 27.76 27.76
Closest atoms and distances in Å follow each position.
Atoms (fractional coordinates):
Sc1 0.0000 0.0000 0.0000  6 Te 2.89
Te1 0.2637 0.2637 0.2637  3 Sc 2.89
Te2 0.7363 0.7363 0.7363  3 Sc 2.89
Cl1 0.5000 0.5000 0.5000  6 Te 3.33

## Properties
Energy ... -4.20 eV per atom
SG ... R-3m, No. 166
Crystal system ... trigonal
V ... 115.6 Å³/cell
Energy relative to the elements, uncorrected ... -581 meV per atom



13.
Material: Sc2TeCl
Method: DFT, GGA-PBE
State: relaxed

abc: 5.2642 5.2642 5.2642
angles: 136.68 112.86 83.34
Closest atoms and distances in Å follow each position.
Atoms (fractional coordinates):
Sc1 0.2058 0.2058 0.0000  2 Cl 2.53
Sc2 0.7942 0.7942 0.0000  2 Cl 2.53
Te1 0.5000 0.0000 0.5000  8 Sc 3.02-3.33
Cl1 0.0000 0.5000 0.5000  4 Sc 2.53

## Properties
Energy ... -5.36 eV per atom
SG ... Immm, No. 71
Crystal system ... orthorhombic
V ... 89.0 Å³/cell
Energy relative to the elements, uncorrected ... -951 meV per atom



14.
Material: Sc2Te2Cl
Method: DFT, GGA-PBE
State: relaxed

abc: 8.4931 8.4931 8.4931
angles: 151.69 151.69 40.47
Closest atoms and distances in Å follow each position.
Atoms (fractional coordinates):
Sc1 0.1569 0.1569 0.0000  1 Cl 2.50
Sc2 0.8431 0.8431 0.0000  1 Cl 2.50
Te1 0.3426 0.3426 0.0000  5 Sc 2.94-2.96
Te2 0.6574 0.6574 0.0000  5 Sc 2.94-2.96
Cl1 0.0000 0.0000 0.0000  2 Sc 2.50

## Properties
Energy ... -5.57 eV per atom
SG ... I4/mmm, No. 139
Crystal system ... tetragonal
V ... 137.5 Å³/cell
Energy relative to the elements, uncorrected ... -1408 meV per atom



15.
Material: ScTeCl
Method: DFT, GGA-PBE
State: relaxed

abc: 3.9396 3.9396 7.0031
angles: 90.00 90.00 120.00
Closest atoms and distances in Å follow each position.
Atoms (fractional coordinates):
Sc1 0.0000 0.0000 0.0000  3 Cl 2.70, 3 Te 2.84
Te1 0.6667 0.3333 0.2417  3 Sc 2.84
Cl1 0.3333 0.6667 0.7923  3 Sc 2.70

## Properties
Energy ... -5.32 eV per atom
SG ... P3m1, No. 156
Crystal system ... trigonal
V ... 94.1 Å³/cell
Energy relative to the elements, uncorrected ... -1545 meV per atom